Rb2GaWF6 | GGA+U | relaxed

Values from the calculation:
E_tot: -4.837 eV per atom
calculated density: 4.6 g/cm3

a = 9.213 Å, b = 9.213 Å, c = 9.213 Å
α = 90.00°, β = 90.00°, γ = 90.00°
Space group Fm-3m (No. 225)
Inequivalent atoms, fractional coordinates:
Rb  0.250  0.250  0.250 [8 per cell]
Ga  0.000  0.000  0.000 [4 per cell]
W  0.000  0.000  0.500 [4 per cell]
F  0.000  0.000  0.270 [24 per cell]